{"formula": "Th8Te4Pt3Se", "functional": "PBE", "state": "relaxed", "raw_formation_energy_mev_per_atom": -1215, "lattice_angstrom": [[8.569, 0.000, 0.000], [0.000, 8.956, 0.267], [-4.284, -4.281, 6.063]], "species": ["Th", "Th", "Th", "Th", "Th", "Th", "Th", "Th", "Te", "Te", "Te", "Te", "Pt", "Pt", "Pt", "Se"], "fractional_positions": [[0.243, 0.720, 0.977], [0.243, 0.720, 0.486], [0.267, 0.300, 0.533], [0.734, 0.720, 0.977], [0.266, 0.280, 0.023], [0.733, 0.700, 0.467], [0.757, 0.280, 0.514], [0.757, 0.280, 0.023], [0.500, 0.000, 0.000], [0.500, 0.000, 0.500], [0.000, 0.000, 0.000], [0.000, 0.000, 0.500], [0.500, 0.500, 0.000], [0.500, 0.500, 0.500], [0.000, 0.500, 0.500], [0.000, 0.500, 0.000]]}



{"formula": "BeGa2W2", "functional": "PBE", "state": "relaxed", "e_above_lowest_polymorph_ev_per_atom": 0.0000, "e_form_ev_per_atom": 0.306, "lattice_angstrom": [[6.061, 0.000, 0.000], [0.000, 6.061, 0.000], [0.000, 0.000, 4.170]], "species": ["Be", "Be", "Ga", "Ga", "Ga", "Ga", "W", "W", "W", "W"], "fractional_positions": [[0.000, 0.000, 0.000], [0.500, 0.500, 0.000], [0.157, 0.657, 0.500], [0.657, 0.843, 0.500], [0.843, 0.343, 0.500], [0.343, 0.157, 0.500], [0.343, 0.843, 0.000], [0.843, 0.657, 0.000], [0.657, 0.157, 0.000], [0.157, 0.343, 0.000]]}



Number 1: magnetic moment 0.0 μB/cell, calculated volume 29.7 Å³ per atom. Number 2: magnetic moment 0.0 μB/cell, calculated volume 15.3 Å³ per atom.